(1)
{
  "formula": "Er2Sn5",
  "functional": "meta-GGA SCAN",
  "state": "PBEsol geometry",
  "cell": [[4.2999, 0.0000, 0.0000], [0.0000, 4.3294, 0.0000], [0.0000, 0.0000, 18.7168]],
  "species": ["Er", "Er", "Er", "Er", "Sn", "Sn", "Sn", "Sn", "Sn", "Sn", "Sn", "Sn", "Sn", "Sn"],
  "fractional_positions": [[0.2500, 0.2500, 0.1291], [0.2500, 0.7500, 0.7011], [0.7500, 0.2500, 0.2989], [0.7500, 0.7500, 0.8709], [0.2500, 0.2500, 0.4226], [0.2500, 0.2500, 0.5771], [0.2500, 0.2500, 0.8442], [0.2500, 0.7500, 0.0011], [0.2500, 0.7500, 0.2651], [0.7500, 0.2500, 0.7349], [0.7500, 0.2500, 0.9989], [0.7500, 0.7500, 0.1558], [0.7500, 0.7500, 0.4229], [0.7500, 0.7500, 0.5774]],
  "ef_ev_per_atom": -0.55,
  "dos_ef_per_ev_cell": 4.7,
  "dft_energy_ev_per_atom": -40.588
}

***

(2)
{
  "formula": "Er5Sn3",
  "functional": "meta-GGA SCAN",
  "state": "PBEsol geometry",
  "cell": [[8.7527, 0.0000, 0.0000], [-4.3764, 7.5801, 0.0000], [0.0000, 0.0000, 6.3704]],
  "species": ["Er", "Er", "Er", "Er", "Er", "Er", "Er", "Er", "Er", "Er", "Sn", "Sn", "Sn", "Sn", "Sn", "Sn"],
  "fractional_positions": [[0.0000, 0.2374, 0.2500], [0.0000, 0.7626, 0.7500], [0.2374, 0.0000, 0.2500], [0.2374, 0.2374, 0.7500], [0.3333, 0.6667, 0.0000], [0.3333, 0.6667, 0.5000], [0.6667, 0.3333, 0.0000], [0.6667, 0.3333, 0.5000], [0.7626, 0.0000, 0.7500], [0.7626, 0.7626, 0.2500], [0.0000, 0.3956, 0.7500], [0.0000, 0.6044, 0.2500], [0.3956, 0.0000, 0.7500], [0.3956, 0.3956, 0.2500], [0.6044, 0.0000, 0.2500], [0.6044, 0.6044, 0.7500]],
  "ef_ev_per_atom": -0.80,
  "dos_ef_per_ev_cell": 7.6,
  "dft_energy_ev_per_atom": -45.737
}